No. 1
3
Lattice="0.000 3.626 3.626 3.626 0.000 3.626 3.626 3.626 0.000" Properties=species:S:1:pos:R:3 comment="PrSmAu, relaxed, DFT PBE" polymorph_energy_ev_per_atom=0.164 sg=F-43m pbc="T T T"
Pr 0.000 0.000 0.000
Sm 3.626 3.626 3.626
Au 1.813 1.813 1.813

***

No. 2
14
Lattice="4.915 -5.544 0.000 4.915 5.544 0.000 -0.187 0.000 7.456" Properties=species:S:1:pos:R:3 comment="Pr3SmAu3, relaxed, DFT PBE" e_tot_ev_per_atom=-4.71 sg=C2/m pbc="T T T"
Pr 4.915 3.581 0.000
Pr 4.822 2.703 3.728
Pr 3.429 0.000 0.960
Pr 6.215 0.000 6.496
Pr 4.822 -2.703 3.728
Pr 4.915 -3.581 0.000
Sm 2.395 0.000 4.689
Sm 7.249 0.000 2.767
Au 2.390 2.712 5.768
Au 0.582 0.000 2.343
Au 7.254 2.712 1.689
Au 2.390 -2.712 5.768
Au 9.062 0.000 5.113
Au 7.254 -2.712 1.689

***

No. 3
14
Lattice="-4.603 4.603 4.603 4.603 -4.603 4.603 4.603 4.603 -4.603" Properties=species:S:1:pos:R:3 comment="Pr2Sm2Au3, relaxed, DFT PBE" e_tot_ev_per_atom=-4.72 sg=I2_13 pbc="T T T"
Pr 3.948 0.655 -0.655
Pr 0.655 0.655 0.655
Pr 0.655 -0.655 3.948
Pr -0.655 3.948 0.655
Sm 6.268 -1.665 1.665
Sm 1.665 6.268 -1.665
Sm 2.937 2.937 2.937
Sm -1.665 1.665 6.268
Au 6.904 1.079 0.000
Au 3.524 0.000 2.301
Au 2.301 3.524 0.000
Au 0.000 2.301 3.524
Au 1.079 0.000 6.904
Au 0.000 6.904 1.079

***

No. 4
6
Lattice="3.845 0.000 0.000 1.893 5.021 0.000 1.902 2.051 7.149" Properties=species:S:1:pos:R:3 comment="PrSmAu4, relaxed, DFT PBE" e_tot_ev_per_atom=-4.55 sg=P-1 pbc="T T T"
Pr 0.000 0.000 0.000
Sm 1.897 3.536 3.574
Au 3.816 5.689 2.419
Au 3.823 4.218 5.906
Au 3.817 2.855 1.243
Au 3.824 1.383 4.730

***

Number 1: total magnetic moment 0.01 μB/f.u.. Number 2: total magnetic moment 0.00 μB/f.u.. Number 3: total magnetic moment 0.00 μB/f.u.. Number 4: total magnetic moment 0.00 μB/f.u..